1.
Compound: SrMo
Source: Alexandria via LeMat-Bulk
Functional: meta-GGA SCAN
Structure: single point on PBEsol structure

Cell: 3.5039 3.5039 10.3369 Å, 90.00 90.00 120.00°
With the nearest neighbours (Å) after each atom.
Fractional positions:
Sr (0.6667, 0.3333, 0.3247)  3 Mo 3.32, 6 Sr 3.50
Mo (0.3333, 0.6667, 0.0696)  3 Mo 2.48
Sr (0.3333, 0.6667, 0.6753)  3 Mo 3.32, 6 Sr 3.50
Mo (0.6667, 0.3333, 0.9304)  3 Mo 2.48

Output
The theoretical density comes out at 5.55 Mg/m³. For the energy above the most stable polymorph in this dataset, the calculation gives 180 meV per atom. The value obtained for the formation energy is 0.8906 eV/atom.

=====

2.
Compound: SrMo3
Source: Alexandria via LeMat-Bulk
Functional: meta-GGA SCAN
Structure: single point on PBEsol structure

Cell: 3.1433 3.1433 9.1267 Å, 90.00 90.00 120.00°
With the nearest neighbours (Å) after each atom.
Fractional positions:
Mo (0.0000, 0.0000, 0.7992)  3 Mo 2.58
Sr (0.3333, 0.6667, 0.5000)  6 Sr 3.14, 6 Mo 3.28
Mo (0.0000, 0.0000, 0.2008)  3 Mo 2.58
Mo (0.3333, 0.6667, 0.0000)  6 Mo 2.58

Output
The theoretical density comes out at 7.98 Mg/m³. For the energy above the most stable polymorph in this dataset, the calculation gives 0 meV per atom. The value obtained for the formation energy is 1.0230 eV/atom.

=====

3.
Compound: SrMo
Source: Alexandria via LeMat-Bulk
Functional: meta-GGA SCAN
Structure: single point on PBEsol structure

Cell: 3.4917 5.6887 6.2994 Å, 116.84 106.09 90.00°
With the nearest neighbours (Å) after each atom.
Fractional positions:
Mo (0.1771, 0.9271, 0.3541)  2 Mo 2.34
Sr (0.6014, 0.3514, 0.2027)  8 Mo 3.43-3.70, 6 Sr 3.49-3.62
Mo (0.8229, 0.0729, 0.6459)  2 Mo 2.34
Sr (0.3986, 0.6486, 0.7973)  8 Mo 3.43-3.70, 6 Sr 3.49-3.62

Output
The theoretical density comes out at 5.74 Mg/m³. For the energy above the most stable polymorph in this dataset, the calculation gives 0 meV per atom. The value obtained for the formation energy is 0.7102 eV/atom.

=====

4.
Compound: SrMo2
Source: Alexandria via LeMat-Bulk
Functional: meta-GGA SCAN
Structure: single point on PBEsol structure

Cell: 4.0637 4.0637 5.3305 Å, 90.00 90.00 120.00°
With the nearest neighbours (Å) after each atom.
Fractional positions:
Mo (0.6667, 0.3333, 0.0000)  3 Mo 2.35
Sr (0.0000, 0.0000, 0.5000)  12 Mo 3.55
Mo (0.3333, 0.6667, 0.0000)  3 Mo 2.35

Output
The theoretical density comes out at 6.09 Mg/m³. For the energy above the most stable polymorph in this dataset, the calculation gives 140 meV per atom. The value obtained for the formation energy is 0.8682 eV/atom.

=====

5.
Compound: SrTaMo2
Source: Alexandria via LeMat-Bulk
Functional: meta-GGA SCAN
Structure: single point on PBEsol structure

Cell: 2.7182 4.7456 6.5590 Å, 90.06 90.00 106.64°
With the nearest neighbours (Å) after each atom.
Fractional positions:
Ta (0.7455, 0.4910, 0.8101)  5 Mo 2.68-2.89, 2 Ta 2.72
Mo (0.2519, 0.5037, 0.1900)  3 Mo 2.55-2.72, 2 Ta 2.84
Mo (0.0040, 0.0081, 0.0075)  3 Mo 2.55-2.72, 1 Ta 2.68
Sr (0.4986, 0.9972, 0.4924)  2 Sr 2.72, 1 Mo 2.99

Output
The theoretical density comes out at 9.43 Mg/m³. For the energy above the most stable polymorph in this dataset, the calculation gives 297 meV per atom. The value obtained for the formation energy is 0.9245 eV/atom.

=====

6.
Compound: SrTaMo2
Source: Alexandria via LeMat-Bulk
Functional: meta-GGA SCAN
Structure: single point on PBEsol structure

Cell: 4.7244 4.7244 4.7244 Å, 60.00 60.00 60.00°
With the nearest neighbours (Å) after each atom.
Fractional positions:
Mo (0.2500, 0.2500, 0.2500)  4 Ta 2.89, 4 Sr 2.89
Sr (0.0000, 0.0000, 0.0000)  8 Mo 2.89
Mo (0.7500, 0.7500, 0.7500)  4 Ta 2.89, 4 Sr 2.89
Ta (0.5000, 0.5000, 0.5000)  8 Mo 2.89

Output
The theoretical density comes out at 10.25 Mg/m³. For the energy above the most stable polymorph in this dataset, the calculation gives 433 meV per atom. The value obtained for the formation energy is 1.0608 eV/atom.

=====

7.
Compound: SrTaMo2
Source: Alexandria via LeMat-Bulk
Functional: meta-GGA SCAN
Structure: single point on PBEsol structure

Cell: 2.9750 4.3641 6.7974 Å, 90.00 96.12 90.00°
With the nearest neighbours (Å) after each atom.
Fractional positions:
Mo (0.6662, 0.0000, 0.6614)  1 Mo 2.31
Mo (0.3338, 0.0000, 0.3386)  1 Mo 2.31
Sr (0.5000, 0.5000, 0.0000)  2 Sr 2.97, 4 Mo 3.25
Ta (0.0000, 0.5000, 0.5000)  4 Mo 2.68, 2 Ta 2.97

Output
The theoretical density comes out at 8.71 Mg/m³. For the energy above the most stable polymorph in this dataset, the calculation gives 0 meV per atom. The value obtained for the formation energy is 0.6274 eV/atom.

=====

8.
Compound: Sr2TcMo
Source: Alexandria via LeMat-Bulk
Functional: meta-GGA SCAN
Structure: single point on PBEsol structure

Cell: 2.8386 5.6563 5.9829 Å, 118.21 90.00 90.00°
With the nearest neighbours (Å) after each atom.
Fractional positions:
Sr (0.0000, 0.0000, 0.5000)  4 Sr 2.83-2.84
Sr (0.0000, 0.5000, 0.5000)  4 Sr 2.83-2.84
Mo (0.5000, 0.5000, 0.0000)  2 Tc 2.83, 2 Mo 2.84
Tc (0.5000, 0.0000, 0.0000)  2 Mo 2.83, 2 Tc 2.84

Output
The theoretical density comes out at 7.24 Mg/m³. The value obtained for the formation energy is 1.2635 eV/atom.

=====

9.
Compound: SrTcMo2
Source: Alexandria via LeMat-Bulk
Functional: meta-GGA SCAN
Structure: single point on PBEsol structure

Cell: 2.9345 4.1282 6.8259 Å, 90.00 101.79 90.00°
With the nearest neighbours (Å) after each atom.
Fractional positions:
Mo (0.9965, 0.0000, 0.9940)  2 Tc 2.52, 2 Mo 2.55
Tc (0.2597, 0.5000, 0.8359)  3 Mo 2.39-2.52
Sr (0.5018, 0.0000, 0.5057)  2 Sr 2.93, 2 Tc 3.24
Mo (0.7420, 0.5000, 0.1644)  1 Tc 2.39, 2 Mo 2.55

Output
The theoretical density comes out at 7.74 Mg/m³. For the energy above the most stable polymorph in this dataset, the calculation gives 0 meV per atom. The value obtained for the formation energy is 0.6808 eV/atom.

=====

10.
Compound: SrTcMo2
Source: Alexandria via LeMat-Bulk
Functional: meta-GGA SCAN
Structure: single point on PBEsol structure

Cell: 3.1319 4.6211 4.8047 Å, 90.00 90.00 90.00°
With the nearest neighbours (Å) after each atom.
Fractional positions:
Mo (0.5000, 0.5000, 0.0000)  4 Mo 2.79, 4 Tc 2.87
Mo (0.0000, 0.0000, 0.0000)  4 Mo 2.79, 4 Sr 2.87
Tc (0.0000, 0.5000, 0.5000)  4 Sr 2.79, 4 Mo 2.87
Sr (0.5000, 0.0000, 0.5000)  4 Tc 2.79, 4 Mo 2.87

Output
The theoretical density comes out at 9.01 Mg/m³. For the energy above the most stable polymorph in this dataset, the calculation gives 521 meV per atom. The value obtained for the formation energy is 1.2014 eV/atom.

=====

11.
Compound: SrTcMo2
Source: Alexandria via LeMat-Bulk
Functional: meta-GGA SCAN
Structure: single point on PBEsol structure

Cell: 3.8127 3.8127 4.9279 Å, 90.00 90.00 90.00°
With the nearest neighbours (Å) after each atom.
Fractional positions:
Tc (0.0000, 0.0000, 0.5000)  4 Sr 2.70
Mo (0.5000, 0.0000, 0.0000)  4 Mo 2.70
Mo (0.0000, 0.5000, 0.0000)  4 Mo 2.70
Sr (0.5000, 0.5000, 0.5000)  4 Tc 2.70

Output
The theoretical density comes out at 8.75 Mg/m³. For the energy above the most stable polymorph in this dataset, the calculation gives 735 meV per atom. The value obtained for the formation energy is 1.4159 eV/atom.

=====

12.
Compound: SrTcMo2
Source: Alexandria via LeMat-Bulk
Functional: meta-GGA SCAN
Structure: single point on PBEsol structure

Cell: 2.8115 2.8115 9.5642 Å, 90.00 90.00 109.67°
With the nearest neighbours (Å) after each atom.
Fractional positions:
Mo (0.5000, 0.5000, 0.7882)  6 Mo 2.63-2.81
Tc (0.5000, 0.5000, 0.2144)  2 Mo 2.58, 4 Tc 2.81
Sr (0.0000, 0.0000, 0.4931)  4 Sr 2.81, 2 Tc 3.12
Mo (0.0000, 0.0000, 0.0043)  2 Tc 2.58, 6 Mo 2.63-2.81

Output
The theoretical density comes out at 8.81 Mg/m³. For the energy above the most stable polymorph in this dataset, the calculation gives 50 meV per atom. The value obtained for the formation energy is 0.7311 eV/atom.

=====

13.
Compound: SrTcMo4
Source: Alexandria via LeMat-Bulk
Functional: meta-GGA SCAN
Structure: single point on PBEsol structure

Cell: 5.3127 5.3127 5.3127 Å, 60.00 60.00 60.00°
With the nearest neighbours (Å) after each atom.
Fractional positions:
Mo (0.3746, 0.3746, 0.8762)  6 Mo 2.65-2.66
Tc (0.0000, 0.0000, 0.0000)  12 Mo 3.11, 4 Sr 3.25
Sr (0.7500, 0.7500, 0.7500)  12 Mo 3.12, 4 Tc 3.25
Mo (0.8762, 0.3746, 0.3746)  6 Mo 2.65-2.66
Mo (0.3746, 0.3746, 0.3746)  6 Mo 2.65-2.66
Mo (0.3746, 0.8762, 0.3746)  6 Mo 2.65-2.66

Output
The theoretical density comes out at 8.92 Mg/m³. The value obtained for the formation energy is 0.7542 eV/atom.

=====

14.
Compound: SrTe2Mo
Source: Alexandria via LeMat-Bulk
Functional: meta-GGA SCAN
Structure: single point on PBEsol structure

Cell: 4.2837 4.2837 7.2188 Å, 72.74 72.74 60.00°
With the nearest neighbours (Å) after each atom.
Fractional positions:
Sr (0.0000, 0.0000, 0.0000)  6 Te 3.21
Te (0.2325, 0.2325, 0.3026)  3 Mo 2.81
Mo (0.5000, 0.5000, 0.5000)  6 Te 2.81
Te (0.7675, 0.7675, 0.6974)  3 Mo 2.81

Output
The theoretical density comes out at 6.76 Mg/m³. For the energy above the most stable polymorph in this dataset, the calculation gives 0 meV per atom. Its uncorrected formation energy is -583 meV per atom.

=====

15.
Compound: SrTe2Mo
Source: Alexandria via LeMat-Bulk
Functional: meta-GGA SCAN
Structure: single point on PBEsol structure

Cell: 5.0598 5.0598 5.0598 Å, 60.00 60.00 60.00°
With the nearest neighbours (Å) after each atom.
Fractional positions:
Sr (0.5000, 0.5000, 0.5000)  8 Te 3.10
Mo (0.0000, 0.0000, 0.0000)  8 Te 3.10
Te (0.7500, 0.7500, 0.7500)  4 Sr 3.10, 4 Mo 3.10
Te (0.2500, 0.2500, 0.2500)  4 Mo 3.10, 4 Sr 3.10

Output
The theoretical density comes out at 7.95 Mg/m³. For the energy above the most stable polymorph in this dataset, the calculation gives 384 meV per atom. Its uncorrected formation energy is -199 meV per atom.